DFT (PBE) results for a geometry-optimized BaPrAuSe3 structure.

a = 8.928 Å, b = 4.326 Å, c = 9.647 Å
α = 90.00°, β = 104.59°, γ = 90.00°
Fractional positions:
Ba 0.196 0.250 0.243
Ba 0.804 0.750 0.757
Pr 0.322 0.750 0.833
Pr 0.678 0.250 0.167
Au 0.101 0.250 0.590
Au 0.899 0.750 0.410
Se 0.098 0.250 0.867
Se 0.245 0.750 0.515
Se 0.440 0.750 0.157
Se 0.560 0.250 0.843
Se 0.755 0.250 0.485
Se 0.902 0.750 0.133

M_tot: 0.00 μB per formula unit
E_form (uncorrected): -8.96 eV/f.u.
Calculated volume: 30.0 Å³ per atom